# 1
PaSi2Ir2: optimized geometry, GGA-PBE.

Cell lengths 4.114, 4.114, 9.925 Å; angles 90.00, 90.00, 90.00 degrees
Sites, in units of the cell vectors:
Pa: 0.000 0.500 0.251
Pa: 0.500 0.000 0.749
Si: 0.500 0.500 0.500
Si: 0.500 0.000 0.134
Si: 0.000 0.000 0.500
Si: 0.000 0.500 0.866
Ir: 0.000 0.500 0.628
Ir: 0.500 0.500 0.000
Ir: 0.500 0.000 0.372
Ir: 0.000 0.000 0.000

Values from the calculation:
space group	P4/nmm, No. 129

# 2
SrScAuO3: optimized geometry, GGA-PBE.

Cell lengths 6.701, 6.701, 8.437 Å; angles 90.00, 90.00, 150.40 degrees
Sites, in units of the cell vectors:
O: 0.607 0.393 0.488
O: 0.393 0.607 0.988
O: 0.607 0.393 0.012
O: 0.953 0.047 0.250
O: 0.393 0.607 0.512
O: 0.047 0.953 0.750
Au: 0.378 0.622 0.750
Au: 0.622 0.378 0.250
Sr: 0.324 0.676 0.250
Sr: 0.676 0.324 0.750
Sc: 0.000 0.000 0.500
Sc: 0.000 0.000 0.000

Values from the calculation:
space group	Cmcm, No. 63

# 3
TbMgAl4Pd2: optimized geometry, GGA-PBE.

Cell lengths 7.046, 5.340, 5.340 Å; angles 46.68, 90.00, 90.00 degrees
Sites, in units of the cell vectors:
Al: 0.192 0.145 0.145
Al: 0.296 0.859 0.859
Al: 0.704 0.859 0.859
Al: 0.808 0.145 0.145
Pd: 0.000 0.708 0.708
Pd: 0.500 0.285 0.285
Mg: 0.000 0.430 0.430
Tb: 0.500 0.568 0.568

Values from the calculation:
space group	Amm2, No. 38

# 4
LiScBiAu: optimized geometry, GGA-PBE.

Cell lengths 4.909, 4.909, 4.909 Å; angles 60.00, 60.00, 60.00 degrees
Sites, in units of the cell vectors:
Bi: 0.500 0.500 0.500
Au: 0.000 0.000 0.000
Li: 0.750 0.750 0.750
Sc: 0.250 0.250 0.250

Values from the calculation:
energy above the most stable polymorph in this dataset	0.0000	eV per atom
space group	F-43m, No. 216

# 5
LiTaFePb: optimized geometry, GGA-PBE.

Cell lengths 4.601, 4.601, 4.601 Å; angles 60.00, 60.00, 60.00 degrees
Sites, in units of the cell vectors:
Pb: 0.000 0.000 0.000
Fe: 0.750 0.750 0.750
Li: 0.500 0.500 0.500
Ta: 0.250 0.250 0.250

Values from the calculation:
energy above the most stable polymorph in this dataset	0.5799	eV per atom
space group	F-43m, No. 216

# 6
TaAlCuMo: optimized geometry, GGA-PBE.

Cell lengths 4.428, 4.428, 4.428 Å; angles 60.00, 60.00, 60.00 degrees
Sites, in units of the cell vectors:
Mo: 0.250 0.250 0.250
Cu: 0.750 0.750 0.750
Al: 0.000 0.000 0.000
Ta: 0.500 0.500 0.500

Values from the calculation:
energy above the most stable polymorph in this dataset	0.0000	eV per atom
space group	F-43m, No. 216

# 7
Sm3Ga: optimized geometry, GGA-PBE.

Cell lengths 4.799, 4.799, 4.813 Å; angles 90.00, 90.00, 90.00 degrees
Sites, in units of the cell vectors:
Sm: 0.000 0.500 0.500
Sm: 0.500 0.000 0.500
Sm: 0.500 0.500 0.000
Ga: 0.000 0.000 0.000

Values from the calculation:
space group	P4/mmm, No. 123

# 8
NdNi3: optimized geometry, GGA-PBE.

Cell lengths 4.434, 4.434, 4.434 Å; angles 60.00, 60.00, 60.00 degrees
Sites, in units of the cell vectors:
Ni: 0.000 0.000 0.000
Ni: 0.500 0.500 0.500
Ni: 0.250 0.250 0.250
Nd: 0.750 0.750 0.750

Values from the calculation:
energy relative to the elements	22	meV per atom
space group	Fm-3m, No. 225

# 9
MgCu2Bi: optimized geometry, GGA-PBE.

Cell lengths 6.635, 6.635, 6.635 Å; angles 90.00, 90.00, 90.00 degrees
Sites, in units of the cell vectors:
Cu: 0.222 0.778 0.222
Cu: 0.222 0.778 0.778
Cu: 0.778 0.778 0.222
Cu: 0.778 0.778 0.778
Cu: 0.222 0.222 0.778
Cu: 0.778 0.222 0.222
Cu: 0.778 0.222 0.778
Cu: 0.222 0.222 0.222
Mg: 0.500 0.000 0.000
Mg: 0.000 0.500 0.000
Mg: 0.000 0.000 0.500
Mg: 0.000 0.000 0.000
Bi: 0.500 0.500 0.000
Bi: 0.500 0.500 0.500
Bi: 0.000 0.500 0.500
Bi: 0.500 0.000 0.500

Values from the calculation:
space group	Pm-3m, No. 221

# 10
Pr2AuO4: optimized geometry, GGA-PBE.

Cell lengths 7.069, 7.069, 7.069 Å; angles 119.98, 90.03, 119.98 degrees
Sites, in units of the cell vectors:
Pr: 0.375 0.750 0.625
Pr: 0.375 0.250 0.625
Pr: 0.875 0.250 0.625
Pr: 0.375 0.750 0.125
O: 0.136 0.728 0.864
O: 0.614 0.772 0.386
O: 0.136 0.272 0.864
O: 0.592 0.728 0.864
O: 0.136 0.272 0.408
O: 0.614 0.228 0.842
O: 0.158 0.772 0.386
O: 0.614 0.228 0.386
Au: 0.750 0.500 0.250
Au: 0.000 0.000 0.000

Values from the calculation:
space group	Fd-3m, No. 227

# 11
Hf2TeIr: optimized geometry, GGA-PBE.

Cell lengths 4.810, 4.810, 4.810 Å; angles 60.00, 60.00, 60.00 degrees
Sites, in units of the cell vectors:
Hf: 0.750 0.750 0.750
Hf: 0.000 0.000 0.000
Ir: 0.250 0.250 0.250
Te: 0.500 0.500 0.500

Values from the calculation:
space group	F-43m, No. 216

# 12
Na3Hg: optimized geometry, GGA-PBE.

Cell lengths 5.367, 5.367, 5.402 Å; angles 60.21, 119.79, 120.00 degrees
Sites, in units of the cell vectors:
Hg: 0.000 0.000 0.000
Na: 0.500 0.500 0.500
Na: 0.755 0.245 0.264
Na: 0.245 0.755 0.736

Values from the calculation:
space group	R-3m, No. 166

# 13
SmGd3I: optimized geometry, GGA-PBE.

Cell lengths 5.711, 5.711, 5.711 Å; angles 90.00, 90.00, 90.00 degrees
Sites, in units of the cell vectors:
I: 0.500 0.500 0.500
Gd: 0.000 0.500 0.500
Gd: 0.500 0.000 0.500
Gd: 0.500 0.500 0.000
Sm: 0.000 0.000 0.000

Values from the calculation:
space group	Pm-3m, No. 221

# 14
RbNaAu2O4: optimized geometry, GGA-PBE.

Cell lengths 6.079, 6.335, 6.335 Å; angles 33.77, 90.00, 90.00 degrees
Sites, in units of the cell vectors:
O: 0.251 0.390 0.390
O: 0.749 0.390 0.390
O: 0.239 0.613 0.613
O: 0.761 0.613 0.613
Au: 0.000 0.498 0.498
Au: 0.500 0.504 0.504
Rb: 0.500 0.782 0.782
Na: 0.000 0.212 0.212

Values from the calculation:
space group	Amm2, No. 38

# 15
FeBr3: optimized geometry, GGA-PBE.

Cell lengths 5.100, 5.100, 5.100 Å; angles 60.00, 60.00, 60.00 degrees
Sites, in units of the cell vectors:
Br: 0.000 0.000 0.000
Br: 0.250 0.250 0.250
Br: 0.500 0.500 0.500
Fe: 0.750 0.750 0.750

Values from the calculation:
space group	Fm-3m, No. 225

# 16
AlRe5: optimized geometry, GGA-PBE.

Cell lengths 5.111, 5.111, 16.030 Å; angles 90.00, 90.00, 120.00 degrees
Sites, in units of the cell vectors:
Re: 0.327 0.164 0.750
Re: 0.164 0.327 0.250
Re: 0.500 0.500 0.000
Re: 0.333 0.667 0.840
Re: 0.164 0.836 0.250
Re: 0.000 0.000 0.404
Re: 0.000 0.500 0.500
Re: 0.836 0.164 0.750
Re: 0.667 0.333 0.340
Re: 0.500 0.000 0.500
Re: 0.000 0.500 0.000
Re: 0.836 0.673 0.750
Re: 0.673 0.836 0.250
Re: 0.667 0.333 0.160
Re: 0.500 0.000 0.000
Re: 0.000 0.000 0.904
Re: 0.500 0.500 0.500
Re: 0.333 0.667 0.660
Re: 0.000 0.000 0.096
Re: 0.000 0.000 0.596
Al: 0.667 0.333 0.625
Al: 0.333 0.667 0.125
Al: 0.333 0.667 0.375
Al: 0.667 0.333 0.875

Values from the calculation:
energy above the most stable polymorph in this dataset	0.0303	eV per atom
space group	P6_3/mmc, No. 194

# 17
NaCoBiB: optimized geometry, GGA-PBE.

Cell lengths 4.588, 4.588, 4.588 Å; angles 60.00, 60.00, 60.00 degrees
Sites, in units of the cell vectors:
Bi: 0.250 0.250 0.250
Na: 0.750 0.750 0.750
B: 0.500 0.500 0.500
Co: 0.000 0.000 0.000

Values from the calculation:
energy above the most stable polymorph in this dataset	0.1012	eV per atom
space group	F-43m, No. 216

# 18
HoTmMg2Cu4: optimized geometry, GGA-PBE.

Cell lengths 4.652, 4.652, 6.583 Å; angles 90.00, 90.00, 90.00 degrees
Sites, in units of the cell vectors:
Ho: 0.000 0.000 0.500
Tm: 0.500 0.500 0.000
Cu: 0.000 0.500 0.751
Cu: 0.000 0.500 0.249
Cu: 0.500 0.000 0.751
Cu: 0.500 0.000 0.249
Mg: 0.000 0.000 0.000
Mg: 0.500 0.500 0.500

Values from the calculation:
space group	P4/mmm, No. 123

# 19
Ir5O: optimized geometry, GGA-PBE.

Cell lengths 5.050, 5.050, 4.459 Å; angles 90.00, 90.00, 120.00 degrees
Sites, in units of the cell vectors:
Ir: 0.667 0.333 0.000
Ir: 0.500 0.500 0.500
Ir: 0.333 0.667 0.000
Ir: 0.500 0.000 0.500
Ir: 0.000 0.500 0.500
O: 0.000 0.000 0.000

Values from the calculation:
space group	P6/mmm, No. 191

# 20
KHfAl: optimized geometry, GGA-PBE.

Cell lengths 5.074, 5.074, 5.074 Å; angles 60.00, 60.00, 60.00 degrees
Sites, in units of the cell vectors:
K: 0.750 0.750 0.750
Al: 0.000 0.000 0.000
Hf: 0.250 0.250 0.250

Values from the calculation:
energy above the most stable polymorph in this dataset	0.0000	eV per atom
space group	F-43m, No. 216

# 21
SrTmFe: optimized geometry, GGA-PBE.

Cell lengths 5.009, 5.009, 5.009 Å; angles 60.00, 60.00, 60.00 degrees
Sites, in units of the cell vectors:
Sr: 0.750 0.750 0.750
Fe: 0.250 0.250 0.250
Tm: 0.000 0.000 0.000

Values from the calculation:
space group	F-43m, No. 216

# 22
ScFeSnPd: optimized geometry, GGA-PBE.

Cell lengths 4.629, 4.629, 4.629 Å; angles 60.00, 60.00, 60.00 degrees
Sites, in units of the cell vectors:
Sc: 0.250 0.250 0.250
Fe: 0.750 0.750 0.750
Pd: 0.500 0.500 0.500
Sn: 0.000 0.000 0.000

Values from the calculation:
energy above the most stable polymorph in this dataset	0.1792	eV per atom
space group	F-43m, No. 216

# 23
TmBiAsO: optimized geometry, GGA-PBE.

Cell lengths 3.879, 8.398, 6.010 Å; angles 90.00, 90.00, 90.00 degrees
Sites, in units of the cell vectors:
O: 0.500 0.751 0.427
O: 0.500 0.249 0.927
Bi: 0.500 0.918 0.963
Bi: 0.500 0.082 0.463
As: 0.000 0.319 0.432
As: 0.000 0.681 0.932
Tm: 0.000 0.661 0.432
Tm: 0.000 0.339 0.932

Values from the calculation:
energy above the most stable polymorph in this dataset	0.0382	eV per atom
space group	Pmc2_1, No. 26

# 24
LuSc2As3: optimized geometry, GGA-PBE.

Cell lengths 3.921, 3.921, 9.591 Å; angles 90.00, 90.00, 120.00 degrees
Sites, in units of the cell vectors:
As: 0.333 0.667 0.325
As: 0.667 0.333 0.675
As: 0.000 0.000 0.000
Sc: 0.667 0.333 0.163
Sc: 0.333 0.667 0.837
Lu: 0.000 0.000 0.500

Values from the calculation:
space group	P-3m1, No. 164

# 25
Dy2Hf: optimized geometry, GGA-PBE.

Cell lengths 6.181, 6.181, 6.181 Å; angles 60.00, 60.00, 60.00 degrees
Sites, in units of the cell vectors:
Hf: 0.000 0.000 0.000
Hf: 0.250 0.250 0.250
Dy: 0.125 0.625 0.625
Dy: 0.625 0.125 0.625
Dy: 0.625 0.625 0.125
Dy: 0.625 0.625 0.625

Values from the calculation:
energy above the most stable polymorph in this dataset	0.4640	eV per atom
energy relative to the elements	613	meV per atom
space group	Fd-3m, No. 227

VASP energy (eV per atom)
-8.621; -6.599; -4.605; -4.472; -5.731; -7.499; -4.534; -5.345; -3.154; -6.643; -7.862; -1.201; -3.939; -4.257; -2.776; -10.687; -3.700; -3.588; -7.103; -3.823; -3.663; -6.242; -5.829; -6.592; -5.774